Entry from the Alexandria database: a relaxed structure of KNbOF2 (PBE).

Calculated values
SG ... No. 123
Relative energy among the computed polymorphs ... 2064 meV/atom
DOS(E_F) ... 1.502 states/eV/atom
ρ ... 3.40 g/cm³
Formation energy from raw total energies ... -0.289 eV/atom
Calculated volume ... 91 Å³/cell

a b c (Å): 4.4435 4.4435 4.6054
angles (deg): 90.00 90.00 90.00
Closest atoms and distances in Å follow each position.
Fractional coordinates of all 5 atoms:
Nb 0.5000 0.5000 0.5000  4 O 3.14, 8 F 3.20
F 0.0000 0.5000 0.0000  2 K 2.22
F 0.5000 0.0000 0.0000  2 K 2.22
K 0.0000 0.0000 0.0000  4 F 2.22, 2 O 2.30
O 0.0000 0.0000 0.5000  2 K 2.30